NbSnOsRu: relaxed, PBE-GGA.

Unit cell a=4.5406 b=4.5406 c=4.5406 alpha=60.00 beta=60.00 gamma=60.00
Fractional coordinates of all 4 atoms:
1 Nb 0.0000 0.0000 0.0000
2 Sn 0.5000 0.5000 0.5000
3 Os 0.7500 0.7500 0.7500
4 Ru 0.2500 0.2500 0.2500

Computed properties:
final energy: -34.80 eV per formula unit
symmetry: F-43m, No. 216
formation enthalpy at 0 K: -0.22 eV per formula unit
M_tot: 0.726 μB per formula unit